NdY2Si4Au4 (PBE, relaxed); total magnetic moment = 0.0 Bohr magnetons per cell; SG = Immm; calculated total energy = -60.42 eV per cell
1.0
-2.098 2.121 12.581
2.098 -2.121 12.581
2.098 2.121 -12.581
Au Nd Si Y
4 1 4 2
direct
0.405 0.405 0.000
0.595 0.595 0.000
0.751 0.251 0.500
0.249 0.749 0.500
0.500 0.000 0.500
0.309 0.309 0.000
0.691 0.691 0.000
0.953 0.453 0.500
0.047 0.547 0.500
0.148 0.148 0.000
0.852 0.852 0.000


GdSn (PBE, relaxed); total magnetic moment = 0.0 Bohr magnetons per cell; SG = P-6m2; calculated total energy = -9.62 eV per cell
1.0
-2.608 -1.069 2.259
1.615 -2.402 -2.160
3.433 -0.881 3.547
Gd Sn
1 1
direct
0.667 0.333 0.750
0.333 0.667 0.250


ZrReNO (PBE, relaxed); total magnetic moment = 0.0 Bohr magnetons per cell; SG = P4/nmm; polymorph energy (0 for the lowest one) = 558.6 meV/atom
1.0
4.479 0.000 0.000
0.000 4.479 0.000
0.000 0.000 4.478
N O Re Zr
2 2 2 2
direct
0.000 0.500 0.424
0.500 0.000 0.576
0.000 0.000 0.000
0.500 0.500 0.000
0.500 0.000 0.073
0.000 0.500 0.927
0.000 0.000 0.500
0.500 0.500 0.500


LiPuRe (PBE, relaxed); total magnetic moment = 4.0 Bohr magnetons per cell; SG = F-43m; polymorph energy (0 for the lowest one) = 414.9 meV/atom
1.0
2.187 1.263 3.572
-2.187 1.263 3.572
0.000 -2.526 3.572
Li Pu Re
1 1 1
direct
0.750 0.750 0.750
0.000 0.000 0.000
0.250 0.250 0.250


HoBAsO (PBE, relaxed); total magnetic moment = 0.0 Bohr magnetons per cell; SG = Pmc2_1; polymorph energy (0 for the lowest one) = 61.3 meV/atom
1.0
-1.990 1.773 -2.315
-3.033 -5.659 -1.726
-4.040 0.896 4.158
As B Ho O
2 2 2 2
direct
0.000 0.282 0.436
0.000 0.718 0.936
0.500 0.113 0.441
0.500 0.887 0.941
0.000 0.711 0.436
0.000 0.289 0.936
0.500 0.908 0.441
0.500 0.092 0.941


HgC2 (PBE, relaxed); SG = I4/mmm; polymorph energy (0 for the lowest one) = 0.0 meV/atom
1.0
0.258 -5.249 0.846
0.824 -3.400 4.012
-2.363 4.291 -2.084
C Hg
2 1
direct
0.234 0.234 0.000
0.766 0.766 0.000
0.000 0.000 0.000


LaDyIn2Pt4 (PBE, relaxed); total magnetic moment = 0.0 Bohr magnetons per cell; SG = P-6m2; calculated total energy = -46.78 eV per cell
1.0
-0.820 -1.144 -4.401
4.306 -0.164 1.666
-1.319 -8.824 2.540
Dy In La Pt
1 2 1 4
direct
0.000 0.000 0.500
0.667 0.333 0.257
0.667 0.333 0.743
0.333 0.667 0.000
0.000 0.000 0.170
0.333 0.667 0.346
0.333 0.667 0.654
0.000 0.000 0.830


SmGd2Tm3Te2Os (PBE, relaxed); total magnetic moment = 0.0 Bohr magnetons per cell; SG = Amm2; calculated total energy = -51.79 eV per cell
1.0
-4.052 0.158 -0.380
-0.835 -2.680 7.783
0.457 8.126 -1.487
Gd Os Sm Te Tm
2 1 1 2 3
direct
0.500 0.390 0.000
0.500 0.000 0.390
0.500 0.011 0.011
0.500 0.600 0.600
0.000 0.667 0.330
0.000 0.330 0.667
0.000 0.239 0.239
0.000 0.996 0.765
0.000 0.765 0.996


CoMoAsPt (PBE, relaxed); total magnetic moment = 1.5 Bohr magnetons per cell; SG = F-43m; polymorph energy (0 for the lowest one) = 341.2 meV/atom
1.0
0.000 3.117 3.117
3.117 0.000 3.117
3.117 3.117 0.000
As Co Mo Pt
1 1 1 1
direct
0.000 0.000 0.000
0.750 0.750 0.750
0.500 0.500 0.500
0.250 0.250 0.250


LaTmCd2Au4 (PBE, relaxed); total magnetic moment = 0.0 Bohr magnetons per cell; formation enthalpy at 0 K = -64.27 kJ per mole of atoms; SG = P4/mmm
1.0
5.002 0.000 0.000
0.000 5.002 0.000
0.000 0.000 7.041
Au Cd La Tm
4 2 1 1
direct
0.500 0.000 0.231
0.000 0.500 0.231
0.500 0.000 0.769
0.000 0.500 0.769
0.000 0.000 0.000
0.500 0.500 0.500
0.000 0.000 0.500
0.500 0.500 0.000


GdDyNi8B2 (PBE, relaxed); total magnetic moment = 0.0 Bohr magnetons per cell; SG = P6/mmm; polymorph energy (0 for the lowest one) = 0.0 meV/atom
1.0
-4.659 1.742 0.450
1.036 -4.716 1.274
1.400 2.064 6.503
B Dy Gd Ni
2 1 1 8
direct
0.667 0.333 0.500
0.333 0.667 0.500
0.000 0.000 0.500
0.000 0.000 0.000
0.667 0.333 0.000
0.333 0.667 0.000
0.500 0.000 0.293
0.000 0.500 0.293
0.500 0.500 0.293
0.500 0.000 0.707
0.000 0.500 0.707
0.500 0.500 0.707


PmZrSn (PBE, relaxed); total magnetic moment = 0.0 Bohr magnetons per cell; SG = F-43m; polymorph energy (0 for the lowest one) = 0.0 meV/atom
1.0
-3.436 -3.035 2.052
-1.598 0.823 4.690
-4.667 1.672 0.806
Pm Sn Zr
1 1 1
direct
0.000 0.000 0.000
0.750 0.750 0.750
0.500 0.500 0.500